VASP calculation (PBE) on crystalline VMo2Rh at its relaxed geometry.

Cell lengths 7.0624, 7.0624, 5.6142 Å; angles 51.03, 51.03, 90.00 degrees
With the nearest neighbours (Å) after each atom.
Element x y z (fractional)
V1 0.5000 0.5000 0.0000  2 Rh 2.57, 4 Mo 2.59
Rh1 0.0000 0.0000 0.0000  2 V 2.57, 4 Mo 2.57
V2 0.2500 0.7500 0.5000  2 Rh 2.57, 4 Mo 2.59
Mo1 0.1231 0.6250 0.2500  2 Mo 2.57, 2 Rh 2.57, 2 V 2.59
Mo2 0.8750 0.8769 0.7500  2 Mo 2.57, 2 Rh 2.57, 2 V 2.59
Mo3 0.3750 0.3731 0.7500  2 Mo 2.57, 2 Rh 2.57, 2 V 2.59
Rh2 0.7500 0.2500 0.5000  2 V 2.57, 4 Mo 2.57
Mo4 0.6269 0.1250 0.2500  2 Mo 2.57, 2 Rh 2.57, 2 V 2.59

Calculated values
The volume comes out at 127.9 Å³ per cell. Its total magnetic moment is 0.000 μB per atom. For the density of states at the Fermi level, the calculation gives 1.146 states/eV/atom. The total energy comes out at -9.001 eV per atom. For the formation energy, the calculation gives 532 meV per atom. For the energy above the most stable polymorph in this dataset, the calculation gives 50.9 kJ per mole of atoms.

VASP calculation (PBE) on crystalline CaCd2Ir at its relaxed geometry.

Cell lengths 3.3912, 3.3889, 7.5748 Å; angles 90.00, 90.00, 90.00 degrees
With the nearest neighbours (Å) after each atom.
Element x y z (fractional)
Cd1 0.0000 0.0000 0.0318  8 Cd 3.06-3.39, 1 Ir 3.36, 4 Ca 3.42
Ir1 0.0000 0.0000 0.4760  4 Cd 2.81, 4 Ca 2.98
Cd2 0.5000 0.5000 0.2826  4 Ir 2.81, 4 Cd 3.06
Ca1 0.5000 0.5000 0.7095  4 Ir 2.98, 1 Cd 3.23

Calculated values
The volume comes out at 87.1 Å³ per cell. Its total magnetic moment is 0.000 μB per atom. For the density of states at the Fermi level, the calculation gives 0.440 states/eV/atom. The total energy comes out at -3.250 eV per atom. For the formation energy, the calculation gives -76 meV per atom.